# 1
Here is a relaxed Sc2Tc3 crystal from the Alexandria database. Energies are from PBE.

Computed properties:
- Calculated formation energy: -0.03 eV per atom
- Magnetization: 0.0 μB/f.u.
- E above lowest polymorph: 0 meV/atom

Cell: 7.6311 5.5369 8.6112 Å, 60.76 39.28 79.96°
Fractional coordinates of all 10 atoms:
1 Sc 0.2209 0.7791 0.3769
2 Sc 0.6269 0.8731 0.4709
3 Sc 0.7791 0.2209 0.6231
4 Sc 0.8731 0.6269 0.0291
5 Tc 0.1993 0.7959 0.0489
6 Tc 0.2011 0.2942 0.0507
7 Tc 0.2723 0.2723 0.7277
8 Tc 0.2942 0.2011 0.4541
9 Tc 0.5223 0.5223 0.9777
10 Tc 0.7959 0.1993 0.9558

---

# 2
Here is a relaxed Cs2Zn2Ge crystal from the Alexandria database. Energies are from PBE.

Computed properties:
- Calculated formation energy: 0.17 eV per atom
- Magnetization: 0.0 μB/f.u.
- E above lowest polymorph: 0 meV/atom

Cell: 7.3005 7.3005 6.0615 Å, 90.00 90.00 90.00°
Fractional coordinates of all 10 atoms:
1 Cs 0.1800 0.3200 0.0000
2 Cs 0.3200 0.8200 0.0000
3 Cs 0.6800 0.1800 0.0000
4 Cs 0.8200 0.6800 0.0000
5 Zn 0.1410 0.6410 0.5000
6 Zn 0.3590 0.1410 0.5000
7 Zn 0.6410 0.8590 0.5000
8 Zn 0.8590 0.3590 0.5000
9 Ge 0.0000 0.0000 0.5000
10 Ge 0.5000 0.5000 0.5000

---

# 3
Here is a relaxed Dy5Te5Rh crystal from the Alexandria database. Energies are from PBE.

Computed properties:
- Magnetization: 0.0 μB/f.u.
- Formation energy from raw total energies: -1.223 eV/atom

Cell: 7.5321 7.5321 8.5488 Å, 107.32 107.32 48.16°
Fractional coordinates of all 11 atoms:
1 Dy 0.0000 0.0000 0.0000
2 Dy 0.3499 0.3499 0.6915
3 Dy 0.3522 0.3522 0.1500
4 Dy 0.6478 0.6478 0.8500
5 Dy 0.6501 0.6501 0.3085
6 Te 0.1657 0.1657 0.8247
7 Te 0.1826 0.1826 0.3329
8 Te 0.5000 0.5000 0.5000
9 Te 0.8174 0.8174 0.6671
10 Te 0.8343 0.8343 0.1753
11 Rh 0.5000 0.5000 0.0000

---

In order of appearance, DFT total energy = -87.782, -15.997, -59.523 eV per cell.